Arrangement i

SbAuBr2 after structural relaxation, computed with PBE.

a = 3.634 Å, b = 4.614 Å, c = 15.730 Å
α = 90.00°, β = 90.00°, γ = 90.00°
Sites, in units of the cell vectors:
Sb  0.000  0.000  0.000
Sb  0.500  0.500  0.500
Au  0.000  0.000  0.500
Au  0.500  0.500  0.000
Br  0.000  0.500  0.353
Br  0.000  0.500  0.647
Br  0.500  0.000  0.147
Br  0.500  0.000  0.853

Calculated values
The calculated volume is 33.0 Å³/atom. The calculation puts the calculated density at 6.03 g/cm3. The value obtained for the total magnetic moment is 0.000 μB/atom.

=====

Arrangement ii

SbAuBr2 after structural relaxation, computed with PBE.

a = 7.989 Å, b = 3.916 Å, c = 8.652 Å
α = 90.00°, β = 102.82°, γ = 90.00°
Sites, in units of the cell vectors:
Sb  0.000  0.000  0.000
Sb  0.500  0.500  0.000
Au  0.316  0.000  0.825
Au  0.816  0.500  0.825
Br  0.157  0.500  0.638
Br  0.337  0.500  0.228
Br  0.657  0.000  0.638
Br  0.837  0.000  0.228

Calculated values
The calculated volume is 33.0 Å³/atom. The calculation puts the calculated density at 6.02 g/cm3. The value obtained for the total magnetic moment is 0.000 μB/atom.

=====

Arrangement iii

SbAuBr2 after structural relaxation, computed with PBE.

a = 3.383 Å, b = 3.383 Å, c = 8.752 Å
α = 90.00°, β = 90.00°, γ = 90.00°
Sites, in units of the cell vectors:
Sb  0.000  0.000  0.000
Au  0.000  0.000  0.500
Br  0.500  0.500  0.279
Br  0.500  0.500  0.721

Calculated values
The calculated volume is 25.0 Å³/atom. The calculation puts the calculated density at 7.93 g/cm3. The value obtained for the total magnetic moment is 0.000 μB/atom.

=====

Which of them is least stable? Easy: arrangement iii.

=====

Arrangement i

SbAuBr2 after structural relaxation, computed with PBE.

a = 3.967 Å, b = 6.573 Å, c = 9.287 Å
α = 90.00°, β = 90.00°, γ = 90.00°
Sites, in units of the cell vectors:
Sb  0.000  0.000  0.000
Sb  0.500  0.500  0.000
Au  0.000  0.500  0.802
Au  0.500  0.000  0.802
Br  0.000  0.000  0.616
Br  0.000  0.500  0.237
Br  0.500  0.000  0.237
Br  0.500  0.500  0.616

Calculated values
The calculated volume is 30.3 Å³/atom. The calculation puts the calculated density at 6.56 g/cm3. The value obtained for the total magnetic moment is 0.000 μB/atom.

=====

Arrangement ii

SbAuBr2 after structural relaxation, computed with PBE.

a = 8.198 Å, b = 8.168 Å, c = 3.395 Å
α = 90.00°, β = 90.53°, γ = 90.00°
Sites, in units of the cell vectors:
Sb  0.000  0.000  0.000
Sb  0.500  0.500  0.000
Au  0.000  0.500  0.000
Au  0.500  0.000  0.000
Br  0.250  0.250  0.000
Br  0.250  0.750  0.000
Br  0.750  0.250  0.000
Br  0.750  0.750  0.000

Calculated values
The calculated volume is 28.4 Å³/atom. The calculation puts the calculated density at 6.99 g/cm3. The value obtained for the total magnetic moment is 0.000 μB/atom.

=====

Which of them is least stable? Easy: arrangement ii.

=====

Arrangement i

SbAuBr2 after structural relaxation, computed with PBE.

a = 10.469 Å, b = 10.469 Å, c = 5.216 Å
α = 90.00°, β = 90.00°, γ = 90.00°
Sites, in units of the cell vectors:
Sb  0.000  0.000  0.000
Sb  0.000  0.500  0.250
Sb  0.500  0.000  0.750
Sb  0.500  0.500  0.500
Au  0.000  0.000  0.500
Au  0.000  0.500  0.750
Au  0.500  0.000  0.250
Au  0.500  0.500  0.000
Br  0.104  0.750  0.125
Br  0.250  0.104  0.875
Br  0.250  0.396  0.375
Br  0.396  0.750  0.625
Br  0.604  0.250  0.625
Br  0.750  0.604  0.375
Br  0.750  0.896  0.875
Br  0.896  0.250  0.125

Calculated values
The calculated volume is 35.7 Å³/atom. The calculation puts the calculated density at 5.56 g/cm3. The value obtained for the total magnetic moment is 0.000 μB/atom.

=====

Arrangement ii

SbAuBr2 after structural relaxation, computed with PBE.

a = 3.560 Å, b = 4.688 Å, c = 6.071 Å
α = 90.00°, β = 90.00°, γ = 90.00°
Sites, in units of the cell vectors:
Sb  0.000  0.000  0.000
Au  0.500  0.000  0.500
Br  0.000  0.500  0.500
Br  0.500  0.500  0.000

Calculated values
The calculated volume is 25.3 Å³/atom. The calculation puts the calculated density at 7.84 g/cm3. The value obtained for the total magnetic moment is 0.000 μB/atom.

=====

Which of them is least stable? Easy: arrangement ii.

=====

Arrangement i

SbAuBr2 after structural relaxation, computed with PBE.

a = 5.345 Å, b = 3.974 Å, c = 6.344 Å
α = 90.00°, β = 112.96°, γ = 90.00°
Sites, in units of the cell vectors:
Sb  0.000  0.000  0.000
Au  0.645  0.500  0.785
Br  0.194  0.000  0.674
Br  0.441  0.500  0.263

Calculated values
The calculated volume is 31.0 Å³/atom. The calculation puts the calculated density at 6.40 g/cm3. The value obtained for the total magnetic moment is 0.000 μB/atom.

=====

Arrangement ii

SbAuBr2 after structural relaxation, computed with PBE.

a = 3.618 Å, b = 3.618 Å, c = 8.668 Å
α = 90.00°, β = 90.00°, γ = 90.00°
Sites, in units of the cell vectors:
Sb  0.000  0.000  0.000
Au  0.500  0.500  0.168
Br  0.000  0.000  0.359
Br  0.500  0.500  0.767

Calculated values
The calculated volume is 28.4 Å³/atom. The calculation puts the calculated density at 7.00 g/cm3. The value obtained for the total magnetic moment is 0.000 μB/atom.

=====

Which of them is least stable? Easy: arrangement ii.